A plane-wave DFT calculation with PBE+U was carried out for MoBrN2O after structural relaxation.

## Properties
symmetry	No. 123
DOS at the Fermi energy	1.7	states/eV/f.u.
final energy	-21.22	eV per formula unit
total magnetic moment	0.566	μB/atom

Unit cell a=4.1127 b=4.1127 c=3.7101 alpha=90.00 beta=90.00 gamma=90.00
Fractional positions:
Mo 0.0000 0.0000 0.0000
Br 0.5000 0.5000 0.5000
N 0.0000 0.5000 0.5000
N 0.5000 0.0000 0.5000
O 0.5000 0.5000 0.0000